1.
# Nd2H7Ru2

A geometry-optimized Nd2H7Ru2 structure (GGA-PBE, Alexandria via LeMat-Bulk).

Geometry as POSCAR:
```
Nd2H7Ru2
1.0
-4.0699 1.7361 1.7731
-1.9077 -4.4041 -0.0546
1.3984 -1.2279 4.4243
H Nd Ru
7 2 2
Cartesian
-0.0823 -0.2816 2.5556
-3.6066 -1.3881 3.6466
-2.8422 -2.0246 5.8289
-1.7370 -1.8712 0.3139
0.0000 0.0000 0.0000
-0.9725 -2.5077 2.4962
-4.4969 -3.6142 3.5872
-1.4218 -1.1142 4.2470
-3.1574 -2.7816 1.8958
-4.4419 -2.4137 4.9904
-0.1373 -1.4822 1.1524
```

Summary:
As for the space group: Cmmm. The crystal system is orthorhombic.

***

2.
# NdH8Ru2

A geometry-optimized NdH8Ru2 structure (GGA-PBE, Alexandria via LeMat-Bulk).

Geometry as POSCAR:
```
NdH8Ru2
1.0
3.5567 0.1870 0.2807
-0.3255 5.1324 -0.2129
-0.3255 -2.1732 4.6545
H Nd Ru
8 1 2
Cartesian
1.4529 0.0526 3.3742
-0.0737 -0.5662 1.5112
2.9794 1.5335 4.6627
2.4066 1.4310 2.1479
2.9794 3.7124 3.2111
0.4992 1.7152 2.5744
1.4529 3.0936 1.3481
-0.0737 1.6127 0.0595
1.7784 0.0935 0.1404
-0.3255 2.7376 1.3826
-0.3255 0.2216 3.0589
```

Summary:
As for the space group: C2/m. The crystal system is monoclinic.

***

no.,final energy (eV per atom)
1,-4.938
2,-4.745